Record 1
Material: DyLu2H
Method: DFT, PBE
State: relaxed

**Crystal system**: tetragonal
**Magnetic moment**: 0.000 μB/cell
**E above lowest polymorph**: 1.34 eV per formula unit

Unit cell a=3.2959 b=3.2959 c=8.3171 alpha=90.00 beta=90.00 gamma=90.00
Element x y z (fractional)
Dy1 0.0000 0.0000 0.0000
Lu1 0.5000 0.5000 0.3069
Lu2 0.5000 0.5000 0.6931
H1 0.0000 0.0000 0.5000

---

Record 2
Material: Dy8Tl4SiSe3
Method: DFT, PBE
State: relaxed

**Crystal system**: monoclinic
**Magnetic moment**: 0.000 μB/cell
**ΔE_f (raw)**: -0.9282 eV/atom

Unit cell a=7.9551 b=7.9551 c=9.1587 alpha=115.90 beta=115.90 gamma=59.83
Element x y z (fractional)
Dy1 0.2340 0.2340 0.7143
Dy2 0.2340 0.7465 0.7142
Dy3 0.2535 0.7660 0.2858
Dy4 0.2595 0.2595 0.2786
Dy5 0.7405 0.7405 0.7214
Dy6 0.7465 0.2340 0.7142
Dy7 0.7660 0.2535 0.2858
Dy8 0.7660 0.7660 0.2857
Tl1 0.0000 0.0000 0.0000
Tl2 0.0000 0.5000 0.0000
Tl3 0.5000 0.0000 0.0000
Tl4 0.5000 0.5000 0.0000
Si1 0.0000 0.0000 0.5000
Se1 0.0000 0.5000 0.5000
Se2 0.5000 0.0000 0.5000
Se3 0.5000 0.5000 0.5000

---

Record 3
Material: La4IrRhBr2
Method: DFT, PBE
State: relaxed

**Crystal system**: monoclinic
**Magnetic moment**: 0.000 μB/cell
**ΔE_f (raw)**: -1.2172 eV/atom

Unit cell a=7.2748 b=4.1941 c=8.2910 alpha=90.00 beta=106.91 gamma=90.00
Element x y z (fractional)
La1 0.2293 0.0000 0.1960
La2 0.2680 0.5000 0.8039
La3 0.7320 0.5000 0.1961
La4 0.7707 0.0000 0.8040
Ir1 0.0000 0.5000 0.0000
Rh1 0.5000 0.0000 0.0000
Br1 0.0000 0.0000 0.5000
Br2 0.5000 0.5000 0.5000

---

Record 4
Material: TlCuGe
Method: DFT, PBE
State: relaxed

**Formation enthalpy at 0 K**: 14.3 kJ/mol of atoms
**Crystal system**: monoclinic
**Magnetic moment**: 0.000 μB/cell

Unit cell a=4.0428 b=5.0290 c=6.4472 alpha=90.00 beta=90.08 gamma=90.00
Element x y z (fractional)
Tl1 0.0000 0.0000 0.0000
Tl2 0.4992 0.5000 0.8089
Cu1 0.0007 0.2520 0.4253
Cu2 0.0007 0.7480 0.4253
Ge1 0.5011 0.0000 0.5323
Ge2 0.5006 0.5000 0.2927

---

Record 5
Material: NbReNi2
Method: DFT, PBE
State: relaxed

**Formation enthalpy at 0 K**: 46.9 kJ/mol of atoms
**Crystal system**: tetragonal
**Magnetic moment**: 0.000 μB/cell

Unit cell a=9.2531 b=9.2531 c=9.2531 alpha=157.01 beta=157.01 gamma=32.74
Element x y z (fractional)
Nb1 0.0000 0.0000 0.0000
Nb2 0.7500 0.2500 0.5000
Re1 0.2500 0.7500 0.5000
Re2 0.5000 0.5000 0.0000
Ni1 0.1401 0.6250 0.0151
Ni2 0.3750 0.3901 0.5151
Ni3 0.6099 0.1250 0.9849
Ni4 0.8750 0.8599 0.4849

---

Record 6
Material: SrCuSb
Method: DFT, PBE
State: relaxed

**Crystal system**: trigonal
**Magnetic moment**: 0.000 μB/cell
**ΔE_f (raw)**: -0.6343 eV/atom

Unit cell a=9.6682 b=9.6682 c=9.6682 alpha=27.02 beta=27.02 gamma=27.02
Element x y z (fractional)
Sr1 0.0000 0.0000 0.0000
Sr2 0.1609 0.1609 0.1609
Cu1 0.2658 0.2658 0.2658
Cu2 0.4153 0.4153 0.4153
Sb1 0.5839 0.5839 0.5839
Sb2 0.7498 0.7498 0.7498

---

Record 7
Material: FeB4
Method: DFT, PBE
State: relaxed

**Formation enthalpy at 0 K**: -16.5 kJ/mol of atoms
**Crystal system**: orthorhombic
**Magnetic moment**: 0.003 μB/cell

Unit cell a=4.5157 b=5.2846 c=3.0036 alpha=90.00 beta=90.00 gamma=90.00
Element x y z (fractional)
Fe1 0.0000 0.0000 0.0000
Fe2 0.5000 0.5000 0.5000
B1 0.1608 0.3736 0.0000
B2 0.2492 0.6875 0.0000
B3 0.2508 0.1875 0.5000
B4 0.3392 0.8736 0.5000
B5 0.6608 0.1264 0.5000
B6 0.7492 0.8125 0.5000
B7 0.7508 0.3125 0.0000
B8 0.8392 0.6264 0.0000

---

Record 8
Material: KFeTc
Method: DFT, PBE
State: relaxed

**Formation enthalpy at 0 K**: 254.7 kJ/mol of atoms
**Crystal system**: cubic
**Magnetic moment**: 6.007 μB/cell
**E above lowest polymorph**: 5.29 eV per formula unit

Unit cell a=4.7317 b=4.7317 c=4.7317 alpha=60.00 beta=60.00 gamma=60.00
Element x y z (fractional)
K1 0.0000 0.0000 0.0000
Fe1 0.2500 0.2500 0.2500
Tc1 0.7500 0.7500 0.7500

---

Which E belongs to each record? In order, -0.1509; -0.1769; -0.2251; -0.1303; -0.2952; -0.1446; -0.2648; -0.1471 hartree per atom.
Which D(E_F) belongs to each record? In order, 4.11; 8.22; 2.40; 2.15; 5.87; 1.14; 2.92; 4.20 states/eV per cell.